Record 1
A relaxed Li2AgPbO4 crystal, computed with PBE-GGA.

Properties
- Crystal system: monoclinic
- DOS(E_F): 0.82 states/eV/cell
- Energy: -38.449 eV per cell
- Magnetization: 0.983 μB per cell
- Calculated volume: 12.24 Å³ per atom

Geometry as extended XYZ:
```
8
Lattice="3.171 0.000 0.000 0.000 6.136 -0.280 0.000 -2.494 5.145" Properties=species:S:1:pos:R:3 pbc="T T T"
Li 1.586 -1.247 2.572
Li 0.000 1.821 2.433
Ag 0.000 0.000 0.000
Pb 1.586 3.068 -0.140
O 1.586 1.171 1.008
O 1.586 2.472 3.857
O 0.000 -0.127 3.603
O 0.000 3.770 1.262
```

---

Record 2
A relaxed LiAgPdO2 crystal, computed with PBE-GGA.

Properties
- Crystal system: monoclinic
- DOS(E_F): 1.72 states/eV/cell
- Energy: -45.002 eV per cell
- Magnetization: 0.000 μB per cell
- Calculated volume: 13.59 Å³ per atom

Geometry as extended XYZ:
```
10
Lattice="-1.438 2.633 1.991 -5.999 -2.032 -1.646 2.857 -2.511 5.385" Properties=species:S:1:pos:R:3 pbc="T T T"
Li 0.000 0.000 0.000
Li 1.428 -1.256 2.693
Ag -2.295 -0.266 5.207
Ag -2.286 -1.644 0.524
Pd -0.005 0.689 2.342
Pd 1.424 -0.567 5.034
O -2.832 -2.505 4.524
O -0.320 -0.661 3.899
O -4.260 -1.250 1.831
O -1.748 0.595 1.206
```

---

Record 3
A relaxed LiAg4Pd3O8 crystal, computed with PBE-GGA.

Properties
- Crystal system: monoclinic
- DOS(E_F): 4.19 states/eV/cell
- Energy: -76.061 eV per cell
- Magnetization: 0.000 μB per cell
- Calculated volume: 13.27 Å³ per atom

Geometry as extended XYZ:
```
16
Lattice="6.251 0.000 0.000 0.000 9.539 0.493 -3.125 -4.258 3.341" Properties=species:S:1:pos:R:3 pbc="T T T"
Li 0.000 4.769 0.246
Ag 3.125 0.000 0.000
Ag 1.563 -2.129 1.670
Ag 0.000 0.000 0.000
Ag -1.563 -2.129 1.670
Pd 3.125 4.769 0.246
Pd 1.563 2.640 1.917
Pd -1.563 2.640 1.917
O 1.614 6.138 0.481
O 0.000 3.938 2.207
O 0.000 1.290 1.659
O 4.636 6.138 0.481
O -1.511 -0.857 3.353
O 3.125 3.991 2.175
O 3.125 1.342 1.627
O 1.511 -0.857 3.353
```

---

Record 4
A relaxed Li3AgPd2O6 crystal, computed with PBE-GGA.

Properties
- Crystal system: monoclinic
- DOS(E_F): 1.52 states/eV/cell
- Energy: -59.468 eV per cell
- Magnetization: 0.000 μB per cell
- Calculated volume: 10.50 Å³ per atom

Geometry as extended XYZ:
```
12
Lattice="5.435 0.019 -0.026 -2.700 4.717 -0.026 -0.936 -1.621 4.921" Properties=species:S:1:pos:R:3 pbc="T T T"
Li -1.866 3.155 2.435
Li 3.666 -0.040 2.435
Li 0.900 1.558 2.435
Ag 0.000 0.000 0.000
Pd 0.009 3.153 -0.026
Pd 2.726 1.584 -0.026
O 2.818 1.322 3.698
O 1.699 2.942 1.196
O -1.019 1.793 1.172
O -0.263 3.101 3.698
O 0.100 0.173 3.674
O 2.062 0.014 1.172
```

---

Record 5
A relaxed LiAgPd2O crystal, computed with PBE-GGA.

Properties
- Crystal system: tetragonal
- DOS(E_F): 1.86 states/eV/cell
- Energy: -22.410 eV per cell
- Magnetization: 0.000 μB per cell
- Calculated volume: 14.05 Å³ per atom

Geometry as extended XYZ:
```
5
Lattice="-2.135 2.740 -2.527 -3.726 -1.485 1.537 0.095 2.620 2.761" Properties=species:S:1:pos:R:3 pbc="T T T"
O 0.000 0.000 0.000
Pd -1.863 -0.743 0.769
Pd -1.067 1.370 -1.264
Ag -2.883 1.937 0.885
Li 0.047 1.310 1.380
```

---

Record 6
A relaxed Li4AgPd3O8 crystal, computed with PBE-GGA.

Properties
- Crystal system: monoclinic
- DOS(E_F): 3.45 states/eV/cell
- Energy: -80.913 eV per cell
- Magnetization: 0.003 μB per cell
- Calculated volume: 10.80 Å³ per atom

Geometry as extended XYZ:
```
16
Lattice="-5.798 -0.745 -1.275 1.389 -3.233 -4.425 1.879 -1.682 6.478" Properties=species:S:1:pos:R:3 pbc="T T T"
Li -2.899 -0.373 -0.637
Li -1.960 -1.213 2.602
Li 0.000 0.000 0.000
Li 0.940 -0.841 3.239
Ag 0.694 -1.617 -2.213
Pd -2.205 -1.989 -2.850
Pd -1.265 -2.830 0.389
Pd 1.634 -2.458 1.027
O 1.382 -3.826 2.530
O 0.513 -3.688 -0.176
O -0.127 -1.478 1.444
O -1.334 -4.175 1.933
O -1.197 -1.485 -1.155
O -2.403 -4.182 -0.666
O -3.044 -1.972 0.955
O -3.912 -1.834 -1.752
```

---

Record 7
A relaxed LiPm2AgO5 crystal, computed with PBE-GGA.

Properties
- Crystal system: tetragonal
- DOS(E_F): 1.27 states/eV/cell
- Energy: -112.478 eV per cell
- Magnetization: 4.011 μB per cell
- Calculated volume: 14.53 Å³ per atom

Geometry as extended XYZ:
```
18
Lattice="-0.531 -5.142 -2.871 6.393 0.344 -1.798 1.730 -3.266 5.528" Properties=species:S:1:pos:R:3 pbc="T T T"
Li 0.865 -1.633 2.764
Li 3.196 0.172 -0.899
Pm 4.379 -2.920 -1.669
Pm 1.431 -3.560 0.023
Pm 6.161 -4.503 0.837
Pm 3.213 -5.144 2.529
Ag 4.062 -1.461 1.865
Ag 0.000 0.000 0.000
O 3.796 -4.032 0.430
O -0.265 -2.571 -1.435
O 1.707 -3.317 2.470
O 6.141 -2.268 -0.227
O 2.497 -1.595 -0.759
O 5.352 -3.990 3.002
O 1.452 -5.795 1.087
O 5.096 -6.468 1.618
O 5.885 -4.746 -1.611
O 2.241 -4.073 -2.143
```

---

Record 8
A relaxed LiPr2AgO5 crystal, computed with PBE-GGA.

Properties
- Crystal system: tetragonal
- Energy: -114.171 eV per cell
- Magnetization: 0.000 μB per cell
- Calculated volume: 15.45 Å³ per atom

Geometry as extended XYZ:
```
18
Lattice="-2.328 5.432 -0.527 -0.718 0.352 6.799 6.255 2.732 0.519" Properties=species:S:1:pos:R:3 pbc="T T T"
Li 2.769 1.542 3.659
Li 0.000 0.000 0.000
Pr -0.545 3.437 4.429
Pr 0.731 3.661 1.106
Pr 2.478 4.854 5.685
Pr 3.754 5.079 2.362
Ag 3.128 1.366 0.260
Ag -0.359 0.176 3.399
O 1.605 4.258 3.396
O -1.164 2.716 -0.263
O 3.299 3.154 1.128
O 1.066 2.662 5.924
O 0.009 1.868 2.408
O 4.356 3.949 4.645
O 2.143 5.853 0.867
O 3.200 6.647 4.384
O -0.090 5.361 5.663
O -1.147 4.567 2.146
```

---

Record 9
A relaxed Li3PuAg2O6 crystal, computed with PBE-GGA.

Properties
- Crystal system: monoclinic
- Energy: -74.849 eV per cell
- Magnetization: 0.949 μB per cell
- Calculated volume: 12.11 Å³ per atom

Geometry as extended XYZ:
```
12
Lattice="5.772 -0.021 -0.069 -2.903 4.990 -0.069 -1.018 -1.763 5.106" Properties=species:S:1:pos:R:3 pbc="T T T"
Li -2.176 3.394 2.484
Li 4.027 -0.188 2.484
Li 0.926 1.603 2.484
Pu 0.000 0.000 0.000
Ag -0.116 3.380 -0.069
Ag 2.985 1.589 -0.069
O 2.689 1.915 3.620
O 2.017 3.493 1.016
O -0.838 1.291 1.349
O 0.314 3.286 3.620
O -0.166 -0.287 3.952
O 1.537 -0.080 1.349
```

---

Record 10
A relaxed LiPuAg2O4 crystal, computed with PBE-GGA.

Properties
- Crystal system: monoclinic
- DOS(E_F): 4.91 states/eV/cell
- Energy: -55.044 eV per cell
- Magnetization: 3.000 μB per cell
- Calculated volume: 14.84 Å³ per atom

Geometry as extended XYZ:
```
8
Lattice="3.492 0.000 0.000 0.000 5.120 1.679 0.000 -0.169 6.585" Properties=species:S:1:pos:R:3 pbc="T T T"
Li 0.000 0.000 0.000
Pu 1.746 2.560 0.840
Ag 1.746 -0.084 3.293
Ag 0.000 2.476 4.132
O 1.746 0.621 1.327
O 1.746 4.330 6.938
O 0.000 1.866 6.132
O 0.000 3.085 2.132
```

---

Record 11
A relaxed Li2PuAgO8 crystal, computed with PBE-GGA.

Properties
- Crystal system: trigonal
- DOS(E_F): 10.74 states/eV/cell
- Energy: -69.796 eV per cell
- Magnetization: 2.495 μB per cell
- Calculated volume: 13.01 Å³ per atom

Geometry as extended XYZ:
```
12
Lattice="-0.195 -3.446 -2.890 -0.513 -0.731 4.412 -8.781 1.189 -0.824" Properties=species:S:1:pos:R:3 pbc="T T T"
Li -2.337 -2.265 -0.647
Li -7.153 -0.723 1.345
Pu -4.390 0.594 -0.412
Ag 0.000 0.000 0.000
O -9.055 -0.465 1.167
O -3.430 -0.908 0.248
O -3.833 -2.587 2.121
O -0.434 -2.523 -0.468
O -5.656 -0.401 -1.422
O -6.059 -2.080 0.451
O -5.940 -2.873 -1.967
O -3.549 -0.115 2.666
```

---

Record 12
A relaxed LiPuAgO6 crystal, computed with PBE-GGA.

Properties
- Crystal system: tetragonal
- DOS(E_F): 10.35 states/eV/cell
- Energy: -121.906 eV per cell
- Magnetization: 0.805 μB per cell
- Calculated volume: 12.83 Å³ per atom

Geometry as extended XYZ:
```
18
Lattice="4.986 0.000 0.000 0.000 4.986 0.000 0.000 0.000 9.295" Properties=species:S:1:pos:R:3 pbc="T T T"
Li 2.493 2.493 7.796
Li 0.000 0.000 3.148
Pu 2.493 2.493 4.671
Pu 0.000 0.000 0.024
Ag 2.493 2.493 1.506
Ag 0.000 0.000 6.154
O 1.018 3.967 4.647
O 3.967 1.018 4.647
O 1.475 1.475 9.294
O 3.511 3.511 9.294
O 0.884 4.101 1.456
O 4.101 0.884 1.456
O 1.608 1.608 6.103
O 3.377 3.377 6.103
O 4.073 0.912 7.824
O 0.912 4.073 7.824
O 3.405 3.405 3.177
O 1.581 1.581 3.177
```